Entry 1:
Here is Ac3Ga2PbAu6 after structural relaxation from Alexandria. Energies are from PBE.

Geometry as extended XYZ:
```
12
Lattice="-5.8600 2.8108 -0.0379 1.9620 -3.4927 -5.1179 -3.5017 -7.2519 3.6066" Properties=species:S:1:pos:R:3 pbc="T T T"
Ac -2.8874 -6.0347 -1.1154
Ac -4.5124 -1.8991 -0.4338
Ac 0.0000 0.0000 0.0000
Ga -6.6532 -6.3327 1.7711
Ga -0.7465 -1.6011 -3.3204
Pb -1.7509 -3.6259 1.8033
Au -3.0345 -3.0328 -3.2205
Au -1.3034 -2.7300 -0.9307
Au -0.4321 -4.2811 -3.2036
Au -6.0963 -5.2038 -0.6185
Au -4.3652 -4.9010 1.6712
Au -6.9676 -3.6527 1.6544
```

Summary:
* V: 322.80 Å³ per cell
* symmetry: No. 164
* theoretical density: 11.366 g cm⁻³
* energy of formation: -0.50 eV per atom

Entry 2:
Here is AcGaPd6Au after structural relaxation from Alexandria. Energies are from PBE.

Geometry as extended XYZ:
```
18
Lattice="-5.8992 3.0665 0.5986 -1.4584 -0.9738 -9.3844 1.1476 -6.0946 5.3101" Properties=species:S:1:pos:R:3 pbc="T T T"
Ac -4.9428 -1.9586 -1.4566
Ac -1.2670 -2.0434 -2.0191
Ga -3.6788 1.0463 -4.3929
Ga -2.9496 1.5332 0.2993
Pd -2.5473 -4.5969 -1.5551
Pd -4.7917 -2.6246 3.4450
Pd -5.2888 1.1307 0.7596
Pd -2.6348 -1.1345 -4.3838
Pd -1.8891 -0.6366 0.4146
Pd -6.0345 0.6327 -4.0389
Pd -3.6626 0.5949 -1.9206
Pd -1.4182 -1.3773 -6.9207
Pd -0.9211 -5.1326 -4.2353
Pd -3.5751 -2.8674 0.9081
Pd -4.3208 -3.3654 -3.8903
Pd -0.1754 -4.6347 0.5632
Au -2.3758 -1.5141 2.9543
Au 0.5738 -3.0473 2.6551
```

Summary:
* V: 364.61 Å³ per cell
* symmetry: No. 74
* theoretical density: 10.313 g cm⁻³
* energy of formation: -0.20 eV per atom

Entry 3:
Here is AcGa2Pd5Au after structural relaxation from Alexandria. Energies are from PBE.

Geometry as extended XYZ:
```
9
Lattice="-3.1108 0.4730 3.7026 3.0279 -2.4988 2.8632 3.2857 6.2322 1.9644" Properties=species:S:1:pos:R:3 pbc="T T T"
Ac 1.6429 3.1161 0.9822
Ga 0.5034 0.0205 3.6086
Ga 2.6994 4.1859 4.9215
Pd 2.2101 0.0710 1.8478
Pd -0.8593 1.5569 2.2675
Pd 4.1035 3.6624 2.9798
Pd 1.0341 5.1483 3.3995
Pd 1.6014 2.1032 4.2651
Au 0.0000 0.0000 0.0000
```

Summary:
* V: 172.69 Å³ per cell
* symmetry: No. 123
* theoretical density: 10.534 g cm⁻³
* energy of formation: -0.44 eV per atom

Entry 4:
Here is Ac2Ga4PdAu3 after structural relaxation from Alexandria. Energies are from PBE.

Geometry as extended XYZ:
```
10
Lattice="-2.4131 -2.0866 -3.2776 3.5901 -2.6727 -0.9418 -3.4108 -7.0471 6.9975" Properties=species:S:1:pos:R:3 pbc="T T T"
Ac -2.0680 -2.8231 0.1285
Ac -0.7543 -6.6037 4.7593
Ga 0.5885 -2.3796 -2.1097
Ga 0.0000 0.0000 0.0000
Ga -3.3204 -5.4107 2.6979
Ga 0.4981 -4.0160 2.1899
Pd -1.1169 -5.9032 1.3891
Au -1.7054 -3.5236 3.4988
Au -4.1638 -7.1533 4.4282
Au 1.3415 -2.2735 0.4596
```

Summary:
* V: 219.67 Å³ per cell
* symmetry: No. 115
* theoretical density: 10.812 g cm⁻³
* energy of formation: -0.72 eV per atom

Entry 5:
Here is AcGa5Pd2Au after structural relaxation from Alexandria. Energies are from PBE.

Geometry as extended XYZ:
```
9
Lattice="4.4939 0.0000 0.0000 0.0000 4.4939 0.0000 0.0000 0.0000 9.9603" Properties=species:S:1:pos:R:3 pbc="T T T"
Ac 0.0000 0.0000 4.9801
Ga 0.0000 2.2469 1.5264
Ga 2.2469 0.0000 1.5264
Ga 0.0000 2.2469 8.4339
Ga 2.2469 0.0000 8.4339
Ga 2.2469 2.2469 4.9801
Pd 2.2469 2.2469 2.6319
Pd 2.2469 2.2469 7.3284
Au 0.0000 0.0000 0.0000
```

Summary:
* V: 201.15 Å³ per cell
* symmetry: No. 123
* theoretical density: 8.135 g cm⁻³
* energy of formation: -0.38 eV per atom

Entry 6:
Here is Ac3GaPd9Au2 after structural relaxation from Alexandria. Energies are from PBE.

Geometry as extended XYZ:
```
15
Lattice="-7.3237 -2.3473 1.9676 3.5138 -2.9646 -6.4717 2.4886 -4.7919 3.5463" Properties=species:S:1:pos:R:3 pbc="T T T"
Ac 1.5950 -6.0202 -1.2450
Ac 0.0000 0.0000 0.0000
Ac -2.9164 -4.0835 0.2871
Ga 1.2443 -2.3960 1.7731
Pd -3.9747 -5.6369 3.0143
Pd -2.1054 -7.2141 -0.4287
Pd -0.0784 -4.3881 1.9675
Pd -1.2429 -5.7157 -2.9253
Pd 0.7840 -2.8897 -0.5291
Pd 2.6534 -4.4669 -3.9721
Pd -3.6619 -1.1736 0.9838
Pd 1.7569 -1.4823 -3.2358
Pd -1.9050 -2.6559 -2.2520
Au 0.3848 -3.6898 -2.9696
Au -1.7061 -6.4140 2.0118
```

Summary:
* V: 352.56 Å³ per cell
* symmetry: No. 164
* theoretical density: 9.902 g cm⁻³
* energy of formation: -0.38 eV per atom

Entry 7:
Here is AcGaPd4Au2 after structural relaxation from Alexandria. Energies are from PBE.

Geometry as extended XYZ:
```
8
Lattice="4.5873 0.0000 0.0000 2.2936 3.9727 0.0000 2.2936 1.3242 8.4327" Properties=species:S:1:pos:R:3 pbc="T T T"
Ac 0.0000 0.0000 0.0000
Ga 4.5873 2.6485 4.2164
Pd 4.5873 2.6485 6.6714
Pd 6.8809 3.9727 3.3507
Pd 2.2936 1.3242 5.0820
Pd 4.5872 2.6484 1.7613
Au 6.8809 3.9727 6.2493
Au 2.2936 1.3242 2.1835
```

Summary:
* V: 153.67 Å³ per cell
* symmetry: No. 166
* theoretical density: 12.063 g cm⁻³
* energy of formation: -0.53 eV per atom

Entry 8:
Here is AcGa2PdAu after structural relaxation from Alexandria. Energies are from PBE.

Geometry as extended XYZ:
```
5
Lattice="-3.1059 -3.4165 -0.0176 3.2302 -2.9443 1.4889 -1.2920 4.2735 4.0942" Properties=species:S:1:pos:R:3 pbc="T T T"
Ac 0.0000 0.0000 0.0000
Ga -0.2547 -2.8988 1.9798
Ga -0.9130 0.8115 3.5856
Pd -2.1679 -1.1617 2.4061
Au 1.0002 -0.9256 3.1593
```

Summary:
* V: 108.78 Å³ per cell
* symmetry: No. 119
* theoretical density: 10.225 g cm⁻³
* energy of formation: -0.70 eV per atom

Entry 9:
Here is Ac2Ga3Pd12Au after structural relaxation from Alexandria. Energies are from PBE.

Geometry as extended XYZ:
```
18
Lattice="-3.9502 -5.1751 4.4489 4.4024 -4.2249 4.9948 -0.7173 1.9323 7.6112" Properties=species:S:1:pos:R:3 pbc="T T T"
Ac -0.1627 -4.5821 10.4646
Ac -0.1025 -2.8857 6.5903
Ga -1.9751 -2.5876 2.2244
Ga 2.2012 -2.1125 2.4974
Ga -0.3586 0.9661 3.8056
Pd -0.4765 -1.6922 10.2352
Pd 0.1122 -7.3443 11.0660
Pd 1.6466 -3.9710 12.5669
Pd -2.1894 -5.4578 8.5597
Pd -2.3176 -4.4220 12.3078
Pd 2.2361 -4.9544 8.8490
Pd 0.2113 -5.7756 6.8196
Pd -0.3774 -0.1235 5.9888
Pd -1.9118 -3.4967 4.4879
Pd 1.9242 -2.0099 8.4951
Pd 2.0525 -3.0458 4.7470
Pd -2.5012 -2.5134 8.2059
Au 0.0000 0.0000 0.0000
```

Summary:
* V: 381.46 Å³ per cell
* symmetry: No. 166
* theoretical density: 9.303 g cm⁻³
* energy of formation: -0.28 eV per atom

Entry 10:
Here is Ac3Ga2Pd9Au after structural relaxation from Alexandria. Energies are from PBE.

Geometry as extended XYZ:
```
15
Lattice="7.6188 0.0000 0.0000 -3.8094 6.5981 0.0000 0.0000 0.0000 6.7856" Properties=species:S:1:pos:R:3 pbc="T T T"
Ac 0.0000 4.3987 4.4557
Ac 0.0000 0.0000 0.0000
Ac 3.8094 2.1994 2.3299
Ga 0.0000 4.3987 1.0048
Ga 3.8094 2.1994 5.7808
Pd 5.6081 1.1608 4.5873
Pd 3.8094 4.2764 4.5873
Pd 2.0106 1.1608 4.5873
Pd 1.7988 5.4372 2.1983
Pd 0.0000 2.3217 2.1983
Pd -1.7988 5.4372 2.1983
Pd 3.8094 0.0000 0.0000
Pd -1.9047 3.2990 0.0000
Pd 1.9047 3.2990 0.0000
Au 0.0000 0.0000 3.3928
```

Summary:
* V: 341.11 Å³ per cell
* symmetry: No. 164
* theoretical density: 9.615 g cm⁻³
* energy of formation: -0.50 eV per atom

Entry 11:
Here is AcGa3PdAu after structural relaxation from Alexandria. Energies are from PBE.

Geometry as extended XYZ:
```
12
Lattice="-4.5400 -1.6392 -4.1802 4.6156 -2.6354 -3.9794 -3.0078 -4.5025 5.0323" Properties=species:S:1:pos:R:3 pbc="T T T"
Ac -3.7228 -3.8717 -1.7538
Ac 0.7906 -4.9054 -1.3735
Ga -1.4113 -2.7072 0.1559
Ga 1.3470 -0.7691 -1.1613
Ga 0.9986 -2.6859 -4.9082
Ga -0.9230 -1.5887 -3.2514
Ga 3.2686 -1.8663 -2.8181
Ga -1.5210 -6.0700 -3.2833
Pd -1.1581 -0.6020 -0.9446
Pd -1.7742 -8.1752 -2.1827
Au -1.6699 -4.8567 1.2796
Au -1.2624 -3.9204 -4.4069
```

Summary:
* V: 280.02 Å³ per cell
* symmetry: No. 63
* theoretical density: 8.771 g cm⁻³
* energy of formation: -0.44 eV per atom

Entry 12:
Here is Ac3GaPd6Au2 after structural relaxation from Alexandria. Energies are from PBE.

Geometry as extended XYZ:
```
12
Lattice="5.8930 0.0000 0.0000 -2.9465 5.1035 0.0000 0.0000 0.0000 8.9354" Properties=species:S:1:pos:R:3 pbc="T T T"
Ac 0.0000 3.4023 5.7124
Ac 2.9465 1.7012 3.2230
Ac 0.0000 0.0000 0.0000
Ga 0.0000 0.0000 4.4677
Pd 1.4158 4.2198 2.6120
Pd 0.0000 1.7675 2.6120
Pd -1.4158 4.2198 2.6120
Pd 2.9465 3.3360 6.3234
Pd 1.5307 0.8837 6.3234
Pd 4.3623 0.8837 6.3234
Au 2.9465 1.7012 8.6956
Au 0.0000 3.4023 0.2398
```

Summary:
* V: 268.73 Å³ per cell
* symmetry: No. 164
* theoretical density: 11.019 g cm⁻³
* energy of formation: -0.75 eV per atom

Entry 13:
Here is AcPmGa2Au5 after structural relaxation from Alexandria. Energies are from PBE.

Geometry as extended XYZ:
```
9
Lattice="4.8271 0.0000 0.0000 0.0000 4.8271 0.0000 0.0000 0.0000 8.7576" Properties=species:S:1:pos:R:3 pbc="T T T"
Ac 0.0000 0.0000 4.3788
Pm 0.0000 0.0000 0.0000
Ga 2.4135 2.4135 1.2701
Ga 2.4135 2.4135 7.4875
Au 0.0000 2.4135 2.1692
Au 2.4135 0.0000 2.1692
Au 0.0000 2.4135 6.5884
Au 2.4135 0.0000 6.5884
Au 2.4135 2.4135 4.3788
```

Summary:
* V: 204.06 Å³ per cell
* symmetry: No. 123
* theoretical density: 12.176 g cm⁻³
* energy of formation: -0.55 eV per atom

Entry 14:
Here is AcPmGaAu after structural relaxation from Alexandria. Energies are from PBE.

Geometry as extended XYZ:
```
4
Lattice="-3.8766 -3.4833 1.4253 -1.5304 -3.8886 -3.4249 1.2465 -5.1547 1.0337" Properties=species:S:1:pos:R:3 pbc="T T T"
Ac -2.0802 -6.2633 -0.4829
Au -3.1204 -9.3950 -0.7244
Ga -1.0401 -3.1317 -0.2415
Pm 0.0000 0.0000 0.0000
```

Summary:
* V: 111.53 Å³ per cell
* symmetry: No. 216
* theoretical density: 9.509 g cm⁻³
* energy of formation: -0.59 eV per atom

Entry 15:
Here is AcPrGaAu after structural relaxation from Alexandria. Energies are from PBE.

Geometry as extended XYZ:
```
4
Lattice="5.4378 0.0000 0.0000 2.7189 4.7093 0.0000 2.7189 1.5698 4.4399" Properties=species:S:1:pos:R:3 pbc="T T T"
Pr 5.4378 3.1395 2.2200
Ac 0.0000 0.0000 0.0000
Au 8.1567 4.7093 3.3300
Ga 2.7189 1.5698 1.1100
```

Summary:
* V: 113.70 Å³ per cell
* symmetry: No. 216
* theoretical density: 9.268 g cm⁻³
* energy of formation: -0.58 eV per atom

Entry 16:
Here is Ac2Ga4Pt3Au after structural relaxation from Alexandria. Energies are from PBE.

Geometry as extended XYZ:
```
10
Lattice="-2.7821 1.8000 3.0315 1.9191 -2.4663 3.2256 6.9046 7.6890 1.7710" Properties=species:S:1:pos:R:3 pbc="T T T"
Ac 0.2953 2.7780 1.9483
Ac 6.1778 4.5779 2.9513
Ga -0.4315 -0.3331 3.1286
Ga 0.0000 0.0000 0.0000
Ga 2.9523 5.7368 2.6298
Ga 3.5208 1.6190 2.2698
Pt 3.4523 3.8445 0.8855
Pt 4.6341 7.6097 3.0612
Pt 1.8390 -0.2538 1.8384
Au 3.0208 3.5114 4.0141
```

Summary:
* V: 211.48 Å³ per cell
* symmetry: No. 115
* theoretical density: 11.897 g cm⁻³
* energy of formation: -0.90 eV per atom

Entry 17:
Here is AcGa2Pt2Au after structural relaxation from Alexandria. Energies are from PBE.

Geometry as extended XYZ:
```
6
Lattice="-2.2566 2.0763 3.2280 -2.1710 -1.6938 -3.4988 -0.7509 -6.2263 3.4800" Properties=species:S:1:pos:R:3 pbc="T T T"
Ac 0.0000 0.0000 0.0000
Ga -2.7359 -3.3911 3.3392
Ga -2.4426 -2.4526 -0.1300
Pt -2.4465 -0.9918 1.9982
Pt -2.7319 -4.8519 1.2111
Au -0.3754 -3.1131 1.7400
```

Summary:
* V: 123.13 Å³ per cell
* symmetry: No. 164
* theoretical density: 12.860 g cm⁻³
* energy of formation: -0.80 eV per atom

Entry 18:
Here is Ac2GaPt6Au after structural relaxation from Alexandria. Energies are from PBE.

Geometry as extended XYZ:
```
10
Lattice="5.6900 0.0544 0.0600 -0.1051 8.5855 2.1095 2.7251 5.7441 6.1456" Properties=species:S:1:pos:R:3 pbc="T T T"
Ac 5.5888 5.8868 4.2376
Ac 2.7211 8.4971 4.0775
Ga 2.7924 4.3199 1.0848
Pt 2.7602 4.8660 3.5337
Pt 6.9428 12.0852 7.6530
Pt 4.0429 12.0566 7.6219
Pt 4.2670 2.3274 0.6932
Pt 1.3671 2.2988 0.6621
Pt 5.5498 9.5179 4.7814
Au 0.0000 0.0000 0.0000
```

Summary:
* V: 230.18 Å³ per cell
* symmetry: No. 166
* theoretical density: 13.643 g cm⁻³
* energy of formation: -0.69 eV per atom

Entry 19:
Here is AcGaPtAu2 after structural relaxation from Alexandria. Energies are from PBE.

Geometry as extended XYZ:
```
5
Lattice="4.0672 0.0000 0.0000 0.0000 4.4129 0.0000 -2.0336 -2.2065 6.3064" Properties=species:S:1:pos:R:3 pbc="T T T"
Ac 0.0000 0.0000 5.4404
Ga 0.0000 2.2065 2.4668
Pt 2.0336 2.2065 4.2060
Au 2.0336 0.0000 2.5406
Au 0.0000 0.0000 0.6348
```

Summary:
* V: 113.19 Å³ per cell
* symmetry: No. 44
* theoretical density: 12.994 g cm⁻³
* energy of formation: -0.68 eV per atom

Entry 20:
Here is AcGa2Pt4Au after structural relaxation from Alexandria. Energies are from PBE.

Geometry as extended XYZ:
```
8
Lattice="-0.0281 3.9942 1.6451 -1.8170 0.7379 3.8490 7.8364 -0.1422 6.1508" Properties=species:S:1:pos:R:3 pbc="T T T"
Ac 0.0000 0.0000 0.0000
Ga 4.2212 3.4977 8.5945
Ga 1.7700 1.0921 3.0503
Pt 5.4764 1.7902 7.0903
Pt 1.2110 4.1102 7.0560
Pt 4.7802 0.4796 4.5888
Pt 0.5149 2.7997 4.5545
Au 2.9956 2.2949 5.8224
```

Summary:
* V: 155.88 Å³ per cell
* symmetry: No. 166
* theoretical density: 14.315 g cm⁻³
* energy of formation: -0.63 eV per atom